A relaxed Ag2BrCl crystal. Source: Alexandria, functional PBE.

**Energy relative to the elements, uncorrected**: -0.274 eV per atom
**VASP energy**: -2.5797 eV per atom
**Excess energy over the best structure of this formula in the dataset**: 115 meV/atom
**Calculated volume**: 101 Å³/cell
**Spin magnetization**: 0.000 μB/atom

Unit cell a=5.411 b=5.411 c=3.926 alpha=69.69 beta=69.69 gamma=87.78
Atoms (fractional coordinates):
Ag (0.000, 0.000, 0.000)
Cl (0.000, 0.500, 0.500)
Ag (0.500, 0.500, 0.000)
Br (0.500, 0.000, 0.500)


A relaxed PrPu2Pd3 crystal. Source: Alexandria, functional PBE.

**VASP energy**: -8.6674 eV per atom
**Calculated formation energy**: -0.50 eV per atom
**Calculated volume**: 136 Å³/cell
**Spin magnetization**: 1.906 μB/atom

Unit cell a=3.553 b=3.553 c=10.767 alpha=90.00 beta=90.00 gamma=90.00
Each line ends with the local moment (μB).
Atoms (fractional coordinates):
Pd (0.000, 0.000, 0.000)  -0.03
Pd (0.000, 0.000, 0.675)  0.00
Pu (0.500, 0.500, 0.161)  5.34
Pd (0.000, 0.000, 0.325)  0.00
Pu (0.500, 0.500, 0.839)  5.34
Pr (0.500, 0.500, 0.500)  0.09


A relaxed LuAl2Cd crystal. Source: Alexandria, functional PBE.

**VASP energy**: -3.3262 eV per atom
**Calculated formation energy**: -0.10 eV per atom
**Excess energy over the best structure of this formula in the dataset**: 199 meV/atom
**Calculated volume**: 86 Å³/cell
**Spin magnetization**: 0.000 μB/atom

Unit cell a=4.503 b=4.503 c=5.555 alpha=66.09 beta=66.09 gamma=60.00
Atoms (fractional coordinates):
Lu (0.000, 0.000, 0.000)
Al (0.778, 0.778, 0.666)
Cd (0.500, 0.500, 0.500)
Al (0.222, 0.222, 0.334)


A relaxed HfIn2Os crystal. Source: Alexandria, functional PBE.

**VASP energy**: -6.1702 eV per atom
**Calculated formation energy**: 0.49 eV per atom
**Calculated volume**: 172 Å³/cell
**Spin magnetization**: 0.000 μB/atom

Unit cell a=7.870 b=7.870 c=6.223 alpha=50.78 beta=50.78 gamma=90.00
Atoms (fractional coordinates):
Os (0.000, 0.000, 0.000)
In (0.659, 0.125, 0.250)
In (0.375, 0.341, 0.750)
Hf (0.250, 0.750, 0.500)
In (0.875, 0.909, 0.750)
Os (0.750, 0.250, 0.500)
Hf (0.500, 0.500, 0.000)
In (0.091, 0.625, 0.250)


A relaxed Mg5Cu crystal. Source: Alexandria, functional PBE.

**VASP energy**: -2.0224 eV per atom
**Calculated formation energy**: -0.01 eV per atom
**Excess energy over the best structure of this formula in the dataset**: 2 meV/atom
**Calculated volume**: 246 Å³/cell
**Spin magnetization**: 0.000 μB/atom

Unit cell a=3.231 b=8.106 c=9.410 alpha=90.00 beta=90.00 gamma=90.00
Atoms (fractional coordinates):
Mg (0.500, 0.892, 0.750)
Mg (0.000, 0.000, 0.000)
Mg (0.500, 0.317, 0.544)
Mg (0.000, 0.449, 0.250)
Mg (0.000, 0.000, 0.500)
Mg (0.500, 0.108, 0.250)
Mg (0.500, 0.683, 0.044)
Mg (0.500, 0.317, 0.956)
Mg (0.000, 0.551, 0.750)
Mg (0.500, 0.683, 0.456)
Cu (0.000, 0.819, 0.250)
Cu (0.000, 0.181, 0.750)


A relaxed NbGaOsPd2 crystal. Source: Alexandria, functional PBE.

**VASP energy**: -5.8085 eV per atom
**Calculated formation energy**: 1.13 eV per atom
**Calculated volume**: 94 Å³/cell
**Spin magnetization**: 0.000 μB/atom

Unit cell a=4.403 b=4.824 c=4.403 alpha=90.00 beta=90.00 gamma=90.00
Atoms (fractional coordinates):
Nb (0.000, 0.500, 0.000)
Os (0.500, 0.500, 0.500)
Pd (0.000, 0.000, 0.500)
Ga (0.000, 0.000, 0.000)
Pd (0.500, 0.000, 0.000)


A relaxed Th2ZnCo12C3 crystal. Source: Alexandria, functional PBE.

**VASP energy**: -7.0294 eV per atom
**Calculated formation energy**: 0.14 eV per atom
**Calculated volume**: 230 Å³/cell
**Spin magnetization**: 0.381 μB/atom

Unit cell a=6.860 b=6.860 c=6.860 alpha=60.30 beta=60.30 gamma=60.30
Each line ends with the local moment (μB).
Atoms (fractional coordinates):
Th (0.600, 0.600, 0.600)  -0.17
Co (0.552, 0.141, 0.141)  0.82
Co (0.141, 0.141, 0.552)  0.82
Co (0.274, 0.274, 0.886)  0.46
Co (0.141, 0.552, 0.141)  0.82
Co (0.886, 0.274, 0.274)  0.46
Co (0.448, 0.859, 0.859)  0.82
Co (0.726, 0.726, 0.114)  0.46
Co (0.859, 0.859, 0.448)  0.82
Co (0.114, 0.726, 0.726)  0.46
Co (0.726, 0.114, 0.726)  0.46
Co (0.859, 0.448, 0.859)  0.82
C (0.000, 0.000, 0.500)  -0.03
Zn (0.000, 0.000, 0.000)  -0.03
C (0.500, 0.000, 0.000)  -0.03
Co (0.274, 0.886, 0.274)  0.46
Th (0.400, 0.400, 0.400)  -0.17
C (0.000, 0.500, 0.000)  -0.03


A relaxed TbGePd2 crystal. Source: Alexandria, functional PBE.

**VASP energy**: -5.8154 eV per atom
**Calculated formation energy**: -0.91 eV per atom
**Calculated volume**: 298 Å³/cell
**Spin magnetization**: 0.000 μB/atom

Unit cell a=5.625 b=7.135 c=7.429 alpha=90.00 beta=90.00 gamma=90.00
Atoms (fractional coordinates):
Pd (0.588, 0.948, 0.682)
Pd (0.088, 0.448, 0.818)
Pd (0.412, 0.448, 0.318)
Ge (0.144, 0.250, 0.120)
Tb (0.145, 0.750, 0.529)
Ge (0.856, 0.750, 0.880)
Pd (0.588, 0.552, 0.682)
Ge (0.356, 0.250, 0.620)
Tb (0.645, 0.250, 0.971)
Pd (0.412, 0.052, 0.318)
Tb (0.355, 0.750, 0.029)
Pd (0.912, 0.552, 0.182)
Tb (0.855, 0.250, 0.471)
Pd (0.912, 0.948, 0.182)
Ge (0.644, 0.750, 0.380)
Pd (0.088, 0.052, 0.818)